Entry from Alexandria: Ga2Pd9Pt after structural relaxation (GGA-PBE).

Geometry as POSCAR:
```
Ga2Pd9Pt
1.0
3.940 0.000 0.000
0.000 3.940 0.000
0.000 0.000 11.735
Ga Pd Pt
2 9 1
direct
0.000 0.000 0.166
0.000 0.000 0.834
0.000 0.500 0.000
0.000 0.500 0.329
0.000 0.500 0.671
0.500 0.000 0.000
0.500 0.000 0.329
0.500 0.000 0.671
0.500 0.500 0.165
0.500 0.500 0.500
0.500 0.500 0.835
0.000 0.000 0.500
```

## Properties
Formation energy in eV/f.u.: -3.757

***

Entry from Alexandria: Sr3TiNi after structural relaxation (GGA-PBE).

Geometry as POSCAR:
```
Sr3TiNi
1.0
5.728 0.000 0.000
0.000 5.728 0.000
0.000 0.000 5.728
Sr Ti Ni
3 1 1
direct
0.000 0.000 0.500
0.000 0.500 0.000
0.500 0.000 0.000
0.500 0.500 0.500
0.000 0.000 0.000
```

## Properties
Formation energy in eV/f.u.: 3.124

***

Entry from Alexandria: K2AlP after structural relaxation (GGA-PBE).

Geometry as POSCAR:
```
K2AlP
1.0
3.588 0.000 0.000
0.000 3.588 0.000
0.000 0.000 9.978
K Al P
2 1 1
direct
0.000 0.000 0.000
0.500 0.500 0.416
0.500 0.500 0.734
0.000 0.000 0.669
```

## Properties
Formation energy in eV/f.u.: -0.094

***

Entry from Alexandria: TcGeTeN2 after structural relaxation (GGA-PBE).

Geometry as POSCAR:
```
TcGeTeN2
1.0
3.938 0.000 0.000
0.000 3.938 0.000
0.000 0.000 5.629
Tc Ge Te N
1 1 1 2
direct
0.000 0.000 0.000
0.500 0.500 0.500
0.000 0.000 0.500
0.000 0.500 0.000
0.500 0.000 0.000
```

## Properties
Formation energy without anion corrections in meV per atom: 710

***

Entry from Alexandria: Tb3Y5Tm after structural relaxation (GGA-PBE).

Geometry as POSCAR:
```
Tb3Y5Tm
1.0
8.271 -5.150 0.000
8.271 5.150 0.000
-1.470 0.000 6.836
Tb Y Tm
6 10 2
direct
0.000 0.000 0.000
0.000 0.000 0.500
0.343 0.344 0.922
0.344 0.343 0.422
0.656 0.657 0.578
0.657 0.656 0.078
0.011 0.343 0.089
0.011 0.344 0.589
0.317 0.683 0.750
0.343 0.011 0.589
0.344 0.011 0.089
0.656 0.989 0.911
0.657 0.989 0.411
0.683 0.317 0.250
0.989 0.656 0.411
0.989 0.657 0.911
0.314 0.686 0.250
0.686 0.314 0.750
```

## Properties
Formation energy in eV/f.u.: 1.027

***

Entry from Alexandria: Zr2TlTe2 after structural relaxation (GGA-PBE).

Geometry as POSCAR:
```
Zr2TlTe2
1.0
-2.199 2.199 7.751
2.199 -2.199 7.751
2.199 2.199 -7.751
Zr Tl Te
2 1 2
direct
0.250 0.750 0.500
0.750 0.250 0.500
0.000 0.000 0.000
0.377 0.377 0.000
0.623 0.623 0.000
```

## Properties
Formation energy without anion corrections in meV per atom: -443

***

Entry from Alexandria: LaHf2Au2 after structural relaxation (GGA-PBE).

Geometry as POSCAR:
```
LaHf2Au2
1.0
8.229 0.000 0.000
0.000 8.229 0.000
0.000 0.000 3.257
La Hf Au
2 4 4
direct
0.000 0.000 0.000
0.500 0.500 0.000
0.156 0.344 0.000
0.344 0.844 0.000
0.656 0.156 0.000
0.844 0.656 0.000
0.139 0.639 0.500
0.361 0.139 0.500
0.639 0.861 0.500
0.861 0.361 0.500
```

## Properties
Formation energy in eV/f.u.: -1.475

***

Entry from Alexandria: DyCd2Pb2 after structural relaxation (GGA-PBE).

Geometry as POSCAR:
```
DyCd2Pb2
1.0
2.281 -12.298 0.000
2.281 12.298 0.000
0.000 0.000 4.612
Dy Cd Pb
2 4 4
direct
0.145 0.855 0.750
0.855 0.145 0.250
0.041 0.959 0.250
0.456 0.544 0.250
0.544 0.456 0.750
0.959 0.041 0.750
0.249 0.751 0.250
0.366 0.634 0.750
0.634 0.366 0.250
0.751 0.249 0.750
```

## Properties
Formation energy in eV/f.u.: -1.177

***

Entry from Alexandria: Tb4AlRu after structural relaxation (GGA-PBE).

Geometry as POSCAR:
```
Tb4AlRu
1.0
0.000 6.752 6.752
6.752 0.000 6.752
6.752 6.752 0.000
Tb Al Ru
16 4 4
direct
0.056 0.056 0.444
0.056 0.444 0.056
0.056 0.444 0.444
0.189 0.189 0.811
0.189 0.811 0.189
0.189 0.811 0.811
0.200 0.600 0.600
0.444 0.056 0.056
0.444 0.056 0.444
0.444 0.444 0.056
0.600 0.200 0.600
0.600 0.600 0.200
0.600 0.600 0.600
0.811 0.189 0.189
0.811 0.189 0.811
0.811 0.811 0.189
0.521 0.826 0.826
0.826 0.521 0.826
0.826 0.826 0.521
0.826 0.826 0.826
0.389 0.389 0.389
0.389 0.389 0.833
0.389 0.833 0.389
0.833 0.389 0.389
```

## Properties
Formation energy in eV/f.u.: -2.129

***

Entry from Alexandria: Be16Tc2H after structural relaxation (GGA-PBE).

Geometry as POSCAR:
```
Be16Tc2H
1.0
3.628 2.095 3.500
-3.628 2.095 3.500
0.000 -4.189 3.500
Be Tc H
16 2 1
direct
0.000 0.313 0.687
0.000 0.687 0.313
0.085 0.085 0.085
0.169 0.646 0.646
0.313 0.000 0.687
0.313 0.687 0.000
0.345 0.345 0.839
0.345 0.839 0.345
0.500 0.998 0.998
0.646 0.169 0.646
0.646 0.646 0.169
0.687 0.000 0.313
0.687 0.313 0.000
0.839 0.345 0.345
0.998 0.500 0.998
0.998 0.998 0.500
0.332 0.332 0.332
0.668 0.668 0.668
0.829 0.829 0.829
```

## Properties
E in eV per atom: -4.498

***

Entry from Alexandria: KTaB2 after structural relaxation (GGA-PBE).

Geometry as POSCAR:
```
KTaB2
1.0
-3.372 3.372 4.044
3.372 -3.372 4.044
3.372 3.372 -4.044
K Ta B
2 2 4
direct
0.000 0.000 0.000
0.750 0.250 0.500
0.250 0.750 0.500
0.500 0.500 0.000
0.246 0.625 0.121
0.375 0.496 0.621
0.504 0.125 0.879
0.875 0.754 0.379
```

## Properties
Formation energy in eV/f.u.: 4.606

***

Entry from Alexandria: CrCu3Bi after structural relaxation (GGA-PBE).

Geometry as POSCAR:
```
CrCu3Bi
1.0
4.633 0.000 0.000
0.000 4.633 0.000
0.000 0.000 4.633
Cr Cu Bi
1 3 1
direct
0.000 0.000 0.000
0.000 0.000 0.500
0.000 0.500 0.000
0.500 0.000 0.000
0.500 0.500 0.500
```

## Properties
Formation energy in eV/f.u.: 4.898

***

Entry from Alexandria: HfTi2Zn2Cu2 after structural relaxation (GGA-PBE).

Geometry as POSCAR:
```
HfTi2Zn2Cu2
1.0
4.532 -2.123 0.000
4.532 2.123 0.000
-0.365 0.000 5.644
Hf Ti Zn Cu
1 2 2 2
direct
0.000 0.000 0.000
0.395 0.395 0.307
0.605 0.605 0.693
0.304 0.304 0.816
0.696 0.696 0.184
0.126 0.126 0.442
0.874 0.874 0.558
```

## Properties
Formation energy in eV/f.u.: -0.650

***

Entry from Alexandria: LiDyZn2Ge2 after structural relaxation (GGA-PBE).

Geometry as POSCAR:
```
LiDyZn2Ge2
1.0
4.259 0.000 0.000
-2.129 3.688 0.000
0.000 0.000 6.828
Li Dy Zn Ge
1 1 2 2
direct
0.000 0.000 0.000
0.000 0.000 0.500
0.333 0.667 0.174
0.667 0.333 0.826
0.333 0.667 0.752
0.667 0.333 0.248
```

## Properties
Formation energy in eV/f.u.: -2.857

***

Entry from Alexandria: Ir2Pt2Rh4W after structural relaxation (GGA-PBE).

Geometry as POSCAR:
```
Ir2Pt2Rh4W
1.0
5.846 -1.940 0.000
5.846 1.940 0.000
-1.969 0.000 5.856
Ir Pt Rh W
2 2 4 1
direct
0.160 0.160 0.001
0.840 0.840 0.999
0.386 0.386 0.325
0.614 0.614 0.675
0.055 0.055 0.326
0.279 0.279 0.677
0.721 0.721 0.323
0.945 0.945 0.674
0.500 0.500 0.000
```

## Properties
Formation energy in eV/f.u.: -1.567

***

Entry from Alexandria: EuScCd after structural relaxation (GGA-PBE).

Geometry as POSCAR:
```
EuScCd
1.0
-1.820 1.820 6.387
1.820 -1.820 6.387
1.820 1.820 -6.387
Eu Sc Cd
1 1 1
direct
0.000 0.000 0.000
0.300 0.300 0.000
0.677 0.677 0.000
```

## Properties
Formation energy in eV/f.u.: -0.341

***

Entry from Alexandria: MoP2Au after structural relaxation (GGA-PBE).

Geometry as POSCAR:
```
MoP2Au
1.0
2.995 -4.132 0.000
2.995 4.132 0.000
0.000 0.000 2.644
Mo P Au
1 2 1
direct
0.000 0.000 0.000
0.000 0.500 0.000
0.500 0.000 0.000
0.500 0.500 0.000
```

## Properties
Formation energy in eV/f.u.: 1.238

***

Entry from Alexandria: PrAlPd2 after structural relaxation (GGA-PBE).

Geometry as POSCAR:
```
PrAlPd2
1.0
3.185 0.000 0.000
0.000 3.185 0.000
0.000 0.000 7.424
Pr Al Pd
1 1 2
direct
0.000 0.000 0.000
0.000 0.000 0.500
0.500 0.500 0.307
0.500 0.500 0.693
```

## Properties
Formation energy in eV/f.u.: -2.795

***

Entry from Alexandria: HoEr5Pt4 after structural relaxation (GGA-PBE).

Geometry as POSCAR:
```
HoEr5Pt4
1.0
9.243 -2.068 0.000
9.243 2.068 0.000
-3.098 0.000 6.925
Ho Er Pt
1 5 4
direct
0.000 0.000 0.000
0.000 0.000 0.500
0.336 0.336 0.077
0.336 0.336 0.594
0.664 0.664 0.406
0.664 0.664 0.923
0.207 0.207 0.207
0.500 0.500 0.255
0.500 0.500 0.745
0.793 0.793 0.793
```

## Properties
Formation energy in eV/f.u.: -10.235

***

Entry from Alexandria: Sc2In2Au after structural relaxation (GGA-PBE).

Geometry as POSCAR:
```
Sc2In2Au
1.0
1.612 -10.699 0.000
1.612 10.699 0.000
0.000 0.000 3.239
Sc In Au
2 2 1
direct
0.086 0.914 0.000
0.914 0.086 0.000
0.312 0.688 0.500
0.688 0.312 0.500
0.500 0.500 0.500
```

## Properties
Formation energy in eV/f.u.: -2.239

***

Entry from Alexandria: SiB after structural relaxation (GGA-PBE).

Geometry as POSCAR:
```
SiB
1.0
0.000 2.353 2.353
2.353 0.000 2.353
2.353 2.353 0.000
Si B
1 1
direct
0.000 0.000 0.000
0.250 0.250 0.250
```

## Properties
Formation energy without anion corrections in meV per atom: 384

***

Entry from Alexandria: Ba2GeAu7 after structural relaxation (GGA-PBE).

Geometry as POSCAR:
```
Ba2GeAu7
1.0
4.905 0.000 0.000
0.000 4.905 0.000
0.000 0.000 10.545
Ba Ge Au
2 1 7
direct
0.000 0.500 0.240
0.500 0.000 0.760
0.000 0.000 0.500
0.000 0.000 0.000
0.000 0.500 0.607
0.000 0.500 0.867
0.500 0.000 0.133
0.500 0.000 0.393
0.500 0.500 0.000
0.500 0.500 0.500
```

## Properties
Formation energy in eV/f.u.: -4.454

***

Entry from Alexandria: Ba3PCl3 after structural relaxation (GGA-PBE).

Geometry as POSCAR:
```
Ba3PCl3
1.0
-4.556 4.742 6.599
4.556 -4.742 6.599
4.556 4.742 -6.599
Ba P Cl
6 2 6
direct
0.254 0.004 0.250
0.275 0.000 0.775
0.275 0.500 0.275
0.725 0.000 0.225
0.725 0.500 0.725
0.746 0.996 0.750
0.483 0.233 0.250
0.517 0.767 0.750
0.000 0.225 0.225
0.000 0.775 0.775
0.009 0.759 0.250
0.500 0.225 0.725
0.500 0.775 0.275
0.991 0.241 0.750
```

## Properties
Formation energy without anion corrections in meV per atom: -1953

***

Entry from Alexandria: Pa2Co3C2 after structural relaxation (GGA-PBE).

Geometry as POSCAR:
```
Pa2Co3C2
1.0
3.676 0.000 0.000
0.000 3.432 0.000
-1.553 0.000 8.377
Pa Co C
2 3 2
direct
0.028 0.000 0.239
0.972 0.000 0.761
0.283 0.500 0.579
0.500 0.500 0.000
0.717 0.500 0.421
0.488 0.500 0.211
0.512 0.500 0.789
```

## Properties
Formation energy in eV/f.u.: -0.445

***

| no. | magnetization (μB/cell) |
| --- | --- |
| 1 | 0.000 |
| 2 | 0.053 |
| 3 | 0.000 |
| 4 | 0.218 |
| 5 | 0.000 |
| 6 | 0.000 |
| 7 | 0.000 |
| 8 | 0.000 |
| 9 | 0.000 |
| 10 | 0.000 |
| 11 | 0.000 |
| 12 | 3.987 |
| 13 | 1.353 |
| 14 | 0.000 |
| 15 | 0.000 |
| 16 | 7.965 |
| 17 | 0.000 |
| 18 | 0.000 |
| 19 | 0.000 |
| 20 | 0.267 |
| 21 | 0.000 |
| 22 | 0.000 |
| 23 | 0.180 |
| 24 | 0.000 |